Pm5Al2Te | PBE | optimized geometry

The space group is I4/mcm (No. 140) and the conventional cell measures 8.1452, 8.1452 and 13.9695 Å, with angles of 90.00, 90.00 and 90.00 degrees. Symmetry generates all atoms from Pm at (0.0000, 0.0000, 0.0000), Pm at (0.1650, 0.3350, 0.1474), Al at (0.1233, 0.3767, 0.5000) and Te at (0.0000, 0.0000, 0.2500).

For the magnetic moment, the calculation gives 9.0 μB per cell. The calculation puts the total energy at -4.82 eV/atom. As for the energy relative to the elements, uncorrected: -4.20 eV per formula unit.